Below is crystalline TiFeO3 at its relaxed geometry, with properties calculated at the GGA+U level. Values from VASP.

Values from the calculation:
As for the spin magnetization: 8.00 μB per cell. Its theoretical density is 4964 kg/m3. As for the electronic total energy: -7.966 eV/atom. Its symmetry is Cmcm, No. 63.

Cell and atoms, written as Quantum ESPRESSO input:
```
&SYSTEM
  ibrav = 0, nat = 10, ntyp = 3
/
ATOMIC_SPECIES
Ti 47.87 Ti.upf
Fe 55.84 Fe.upf
O 16.00 O.upf
CELL_PARAMETERS angstrom
1.4602 -4.7920 0.0000
1.4602 4.7920 0.0000
0.0000 0.0000 7.2534
ATOMIC_POSITIONS angstrom
Ti 0.0000 0.0000 0.0000
Ti 0.0000 0.0000 3.6267
Fe 1.4602 2.3650 5.4401
Fe 1.4602 -2.3650 1.8134
O 1.4602 3.9859 1.8134
O 1.4602 1.2535 0.4715
O 1.4602 1.2535 3.1552
O 1.4602 -1.2535 4.0982
O 1.4602 -1.2535 6.7819
O 1.4602 -3.9859 5.4401
```